Below is crystalline SrSiPd3 at its relaxed geometry, with properties calculated at the PBE level.

a b c (Å): 4.690 4.690 4.690
angles (deg): 90.00 90.00 90.00
Element x y z (fractional)
Sr  0.000  0.000  0.000
Si  0.500  0.500  0.500
Pd  0.000  0.500  0.500
Pd  0.500  0.000  0.500
Pd  0.500  0.500  0.000

Output
M_tot: 0.000 μB/f.u.
Calculated volume: 103.2 Å³ per cell
Offset from the most stable computed form: 0.104 eV per atom
Formation energy from raw total energies: -0.583 eV per atom